Here is a relaxed structure of ScAl2Pt from Alexandria via LeMat-Bulk. Energies are from PBE.

* VASP energy: -5.404 eV per atom
* formation energy: -440 meV/atom

abc: 3.9184 3.9184 19.3779
angles: 90.00 90.00 90.00
Space group I-42d (No. 122)
One atom of each set of equivalent atoms:
Sc1 0.0000 0.0000 0.0000 [4 per cell]
Al1 0.2386 0.2500 0.6250 [8 per cell]
Pt1 0.0000 0.0000 0.5000 [4 per cell]

---

Here is a relaxed structure of ScAl2Pt from Alexandria via LeMat-Bulk. Energies are from PBE.

* VASP energy: -5.715 eV per atom
* formation energy: -751 meV/atom

abc: 4.1292 4.1292 7.8066
angles: 90.00 90.00 90.00
Space group I-4m2 (No. 119)
One atom of each set of equivalent atoms:
Sc1 0.0000 0.0000 0.0000 [2 per cell]
Al1 0.0000 0.0000 0.5000 [2 per cell]
Al2 0.0000 0.5000 0.2500 [2 per cell]
Pt1 0.0000 0.5000 0.7500 [2 per cell]

---

Here is a relaxed structure of Sc4AlPt2 from Alexandria via LeMat-Bulk. Energies are from PBE.

* VASP energy: -6.756 eV per atom
* formation energy: -878 meV/atom

abc: 4.6469 4.6469 22.5130
angles: 90.00 90.00 120.00
Space group R-3m (No. 166, hexagonal axes)
One atom of each set of equivalent atoms:
Sc1 0.0000 0.0000 0.1169 [6 per cell]
Sc2 0.0000 0.0000 0.3702 [6 per cell]
Al1 0.0000 0.0000 0.5000 [3 per cell]
Pt1 0.0000 0.0000 0.2468 [6 per cell]

---

Here is a relaxed structure of Sc6Al3Pt from Alexandria via LeMat-Bulk. Energies are from PBE.

* VASP energy: -6.052 eV per atom
* formation energy: -526 meV/atom

abc: 8.3440 4.8283 10.5626
angles: 90.00 109.35 90.00
Space group P2_1/m (No. 11)
One atom of each set of equivalent atoms:
Sc1 0.0414 0.2500 0.4198 [2 per cell]
Sc2 0.1685 0.7500 0.1671 [2 per cell]
Sc3 0.2590 0.2500 0.0029 [2 per cell]
Sc4 0.3432 0.7500 0.8060 [2 per cell]
Sc5 0.3597 0.2500 0.3365 [2 per cell]
Sc6 0.4045 0.2500 0.6342 [2 per cell]
Al1 0.0243 0.7500 0.8731 [2 per cell]
Al2 0.1023 0.2500 0.7145 [2 per cell]
Al3 0.2723 0.7500 0.4743 [2 per cell]
Pt1 0.4494 0.7500 0.0900 [2 per cell]

---

Here is a relaxed structure of ScAl2Pt9 from Alexandria via LeMat-Bulk. Energies are from PBE.

* VASP energy: -6.501 eV per atom
* formation energy: -819 meV/atom

abc: 3.9565 3.9565 11.8063
angles: 90.00 90.00 90.00
Space group P4/mmm (No. 123)
One atom of each set of equivalent atoms:
Sc1 0.0000 0.0000 0.0000 [1 per cell]
Al1 0.0000 0.0000 0.3360 [2 per cell]
Pt1 0.0000 0.5000 0.1722 [4 per cell]
Pt2 0.0000 0.5000 0.5000 [2 per cell]
Pt3 0.5000 0.5000 0.0000 [1 per cell]
Pt4 0.5000 0.5000 0.3362 [2 per cell]

---

Here is a relaxed structure of Sc2Al9Pt3 from Alexandria via LeMat-Bulk. Energies are from PBE.

* VASP energy: -5.415 eV per atom
* formation energy: -810 meV/atom

abc: 13.0994 7.5444 10.2543
angles: 90.00 115.02 90.00
Space group C2/c (No. 15)
One atom of each set of equivalent atoms:
Sc1 0.1694 0.0836 0.2499 [8 per cell]
Al1 0.0000 0.3686 0.2500 [4 per cell]
Al2 0.0567 0.0795 0.9192 [8 per cell]
Al3 0.1053 0.3128 0.7485 [8 per cell]
Al4 0.1075 0.4139 0.0688 [8 per cell]
Al5 0.2252 0.4149 0.4217 [8 per cell]
Pt1 0.0859 0.2422 0.5000 [8 per cell]
Pt2 0.2500 0.2500 0.0000 [4 per cell]